Material: LiZrBr
Method: DFT, PBE
State: optimized geometry

The structure belongs to space group F-43m (No. 216); the cell edges are 6.554, 6.554 and 6.554 Å and the angles 90.00°, 90.00° and 90.00°. The asymmetric unit holds Li at (0.000, 0.000, 0.000), Zr at (0.250, 0.250, 0.750) and Br at (0.000, 0.000, 0.500).

The formation energy without anion corrections comes out at 505 meV per atom. As for the energy relative to the lowest polymorph listed for this composition: 120.7 kJ per mole of atoms.